No. 1
Entry from OQMD: an optimized crystal structure of InCu3SnSe4 (GGA-PBE).

Cell: 6.085 6.085 6.085 Å, 90.00 90.00 90.00°
Positions (direct):
1 Cu 0.500 0.500 0.000
2 Cu 0.000 0.500 0.500
3 Cu 0.500 0.000 0.500
4 Se 0.248 0.248 0.248
5 Se 0.248 0.752 0.752
6 Se 0.752 0.752 0.248
7 Se 0.752 0.248 0.752
8 In 0.000 0.000 0.000
9 Sn 0.500 0.500 0.500

Output
Excess energy over the best structure of this formula in the dataset ... 0.056 eV per atom
Crystal system ... cubic

---

No. 2
Entry from OQMD: an optimized crystal structure of InCu3SnSe4 (GGA-PBE).

Cell: 5.953 7.591 9.858 Å, 90.00 106.65 90.00°
Positions (direct):
1 Se 0.581 0.516 0.721
2 Se 0.198 0.250 0.943
3 Se 0.999 0.250 0.451
4 Se 0.419 0.016 0.279
5 Se 0.001 0.750 0.549
6 Se 0.581 0.984 0.721
7 Se 0.419 0.484 0.279
8 Se 0.802 0.750 0.057
9 Sn 0.297 0.250 0.706
10 Sn 0.703 0.750 0.294
11 Cu 0.714 0.072 0.522
12 Cu 0.167 0.750 0.242
13 Cu 0.833 0.250 0.758
14 Cu 0.286 0.928 0.478
15 Cu 0.714 0.428 0.522
16 Cu 0.286 0.572 0.478
17 In 0.241 0.750 0.923
18 In 0.759 0.250 0.077

Output
Excess energy over the best structure of this formula in the dataset ... 0.000 eV per atom
Crystal system ... monoclinic

---

No. 3
Entry from OQMD: an optimized crystal structure of InCuSnTeSe2 (GGA-PBE).

Cell: 6.874 6.874 11.757 Å, 90.00 90.00 146.28°
Positions (direct):
1 Te 0.898 0.102 0.750
2 Te 0.102 0.898 0.250
3 Sn 0.000 0.000 0.000
4 Sn 0.000 0.000 0.500
5 Se 0.359 0.641 0.080
6 Se 0.641 0.359 0.580
7 Se 0.359 0.641 0.420
8 Se 0.641 0.359 0.920
9 In 0.216 0.784 0.750
10 In 0.784 0.216 0.250
11 Cu 0.534 0.466 0.750
12 Cu 0.466 0.534 0.250

Output
Final energy ... -3.65 eV/atom
Crystal system ... orthorhombic

---

No. 4
Entry from OQMD: an optimized crystal structure of TaInCuTeSe2 (GGA-PBE).

Cell: 7.905 7.905 10.271 Å, 90.00 90.00 153.16°
Positions (direct):
1 Te 0.917 0.083 0.750
2 Te 0.083 0.917 0.250
3 Se 0.620 0.380 0.549
4 Se 0.620 0.380 0.951
5 Se 0.380 0.620 0.049
6 Se 0.380 0.620 0.451
7 Cu 0.539 0.461 0.750
8 Cu 0.461 0.539 0.250
9 In 0.771 0.229 0.250
10 In 0.229 0.771 0.750
11 Ta 0.000 0.000 0.500
12 Ta 0.000 0.000 0.000

Output
Final energy ... -5.06 eV/atom
Crystal system ... orthorhombic

---

No. 5
Entry from OQMD: an optimized crystal structure of TaInCuTe2Se (GGA-PBE).

Cell: 7.848 7.848 9.993 Å, 90.00 90.00 151.84°
Positions (direct):
1 Cu 0.970 0.030 0.250
2 Cu 0.030 0.970 0.750
3 In 0.761 0.239 0.750
4 In 0.239 0.761 0.250
5 Te 0.865 0.135 0.047
6 Te 0.865 0.135 0.453
7 Te 0.135 0.865 0.547
8 Te 0.135 0.865 0.953
9 Ta 0.500 0.500 0.000
10 Ta 0.500 0.500 0.500
11 Se 0.433 0.567 0.750
12 Se 0.567 0.433 0.250

Output
Final energy ... -4.92 eV/atom
Crystal system ... orthorhombic

---

No. 6
Entry from OQMD: an optimized crystal structure of TbInCu3Se4 (GGA-PBE).

Cell: 6.146 6.146 6.146 Å, 90.00 90.00 90.00°
Positions (direct):
1 Cu 0.500 0.500 0.000
2 Cu 0.000 0.500 0.500
3 Cu 0.500 0.000 0.500
4 Se 0.253 0.253 0.253
5 Se 0.253 0.747 0.747
6 Se 0.747 0.253 0.747
7 Se 0.747 0.747 0.253
8 In 0.000 0.000 0.000
9 Tb 0.500 0.500 0.500

Output
Excess energy over the best structure of this formula in the dataset ... 0.078 eV per atom
Crystal system ... cubic

---

No. 7
Entry from OQMD: an optimized crystal structure of TbInCu3Se4 (GGA-PBE).

Cell: 6.038 7.306 10.009 Å, 90.00 102.45 90.00°
Positions (direct):
1 Se 0.598 0.026 0.711
2 Se 0.402 0.974 0.289
3 Se 0.598 0.474 0.711
4 Se 0.964 0.750 0.431
5 Se 0.221 0.750 0.941
6 Se 0.779 0.250 0.059
7 Se 0.402 0.526 0.289
8 Se 0.036 0.250 0.569
9 Cu 0.703 0.065 0.477
10 Cu 0.297 0.565 0.523
11 Cu 0.576 0.250 0.236
12 Cu 0.424 0.750 0.764
13 Cu 0.703 0.435 0.477
14 Cu 0.297 0.935 0.523
15 Tb 0.095 0.250 0.301
16 Tb 0.905 0.750 0.699
17 In 0.730 0.750 0.084
18 In 0.270 0.250 0.916

Output
Excess energy over the best structure of this formula in the dataset ... 0.000 eV per atom
Crystal system ... monoclinic

---

No. 8
Entry from OQMD: an optimized crystal structure of InCuTcTeSe2 (GGA-PBE).

Cell: 7.739 7.739 9.953 Å, 90.00 90.00 153.73°
Positions (direct):
1 Cu 0.453 0.547 0.750
2 Cu 0.547 0.453 0.250
3 Se 0.623 0.377 0.041
4 Se 0.623 0.377 0.459
5 Se 0.377 0.623 0.959
6 Se 0.377 0.623 0.541
7 Te 0.919 0.081 0.250
8 Te 0.081 0.919 0.750
9 In 0.230 0.770 0.250
10 In 0.770 0.230 0.750
11 Tc 0.000 0.000 0.500
12 Tc 0.000 0.000 0.000

Output
Final energy ... -4.58 eV/atom
Crystal system ... orthorhombic

---

No. 9
Entry from OQMD: an optimized crystal structure of In2CuTe3Se (GGA-PBE).

Cell: 6.030 6.049 7.285 Å, 66.97 66.27 89.10°
Positions (direct):
1 Se 0.911 0.377 0.751
2 Te 0.609 0.673 0.263
3 Te 0.141 0.070 0.259
4 Te 0.339 0.874 0.731
5 Cu 0.989 0.011 0.992
6 In 0.753 0.253 0.509
7 In 0.508 0.492 0.994

Output
Final energy ... -3.42 eV/atom
Crystal system ... triclinic

---

No. 10
Entry from OQMD: an optimized crystal structure of In2Cu2Te3Se (GGA-PBE).

Cell: 7.575 7.575 6.181 Å, 114.01 114.01 48.09°
Positions (direct):
1 Te 0.158 0.842 0.500
2 Te 0.375 0.124 0.214
3 Te 0.876 0.625 0.786
4 In 0.983 0.259 0.361
5 In 0.741 0.017 0.639
6 Se 0.594 0.406 0.000
7 Cu 0.266 0.495 0.118
8 Cu 0.505 0.734 0.882

Output
Final energy ... -3.54 eV/atom
Crystal system ... monoclinic

---

No. 11
Entry from OQMD: an optimized crystal structure of InCuTeSe (GGA-PBE).

Cell: 6.070 6.070 7.449 Å, 114.02 114.02 89.99°
Positions (direct):
1 Cu 0.498 0.272 0.500
2 Cu 0.272 0.498 0.000
3 In 0.998 0.728 0.500
4 In 0.728 0.998 0.000
5 Te 0.876 0.160 0.750
6 Te 0.160 0.876 0.250
7 Se 0.593 0.375 0.250
8 Se 0.375 0.593 0.750

Output
Excess energy over the best structure of this formula in the dataset ... 0.000 eV per atom
Crystal system ... monoclinic

---

No. 12
Entry from OQMD: an optimized crystal structure of InCuTeSe (GGA-PBE).

Cell: 7.454 7.454 7.454 Å, 132.10 131.69 70.40°
Positions (direct):
1 Te 0.039 0.250 0.289
2 Te 0.461 0.750 0.211
3 Se 0.250 0.028 0.778
4 Se 0.750 0.472 0.722
5 Cu 0.113 0.363 0.750
6 Cu 0.387 0.137 0.250
7 In 0.618 0.868 0.750
8 In 0.882 0.632 0.250

Output
Excess energy over the best structure of this formula in the dataset ... 0.008 eV per atom
Crystal system ... orthorhombic

---

Calculated V, 225, 427, 308, 290, 291, 232, 431, 264, 221, 236, 224, 225 Å³/cell (same order as the records).